5
Lattice="4.588 0.000 0.000 0.000 4.588 0.000 0.000 0.000 4.842" Properties=species:S:1:pos:R:3 comment="Fe2IrPtI (GGA-PBE, optimized geometry)" spacegroup=P4/mmm formation_energy_uncorrected_mev_per_atom=1703 dft_energy_ev_per_atom=-4.9723 pbc="T T T"
Fe 0.000 2.294 0.000
Fe 2.294 0.000 0.000
Ir 0.000 0.000 2.421
Pt 2.294 2.294 2.421
I 0.000 0.000 0.000

***

5
Lattice="5.113 0.000 0.000 0.000 5.113 0.000 0.000 0.000 5.626" Properties=species:S:1:pos:R:3 comment="FeSb2IrI (GGA-PBE, optimized geometry)" spacegroup=P4/mmm formation_energy_uncorrected_mev_per_atom=975 dft_energy_ev_per_atom=-4.4483 pbc="T T T"
Fe 0.000 0.000 0.000
Sb 0.000 2.557 2.813
Sb 2.557 0.000 2.813
Ir 2.557 2.557 2.813
I 2.557 2.557 0.000

***

5
Lattice="5.610 0.000 0.000 0.000 5.610 0.000 0.000 0.000 4.983" Properties=species:S:1:pos:R:3 comment="FeSbIrI2 (GGA-PBE, optimized geometry)" spacegroup=P4/mmm formation_energy_uncorrected_mev_per_atom=948 dft_energy_ev_per_atom=-3.9615 pbc="T T T"
Fe 0.000 0.000 0.000
Sb 2.805 2.805 0.000
Ir 2.805 2.805 2.491
I 0.000 2.805 2.491
I 2.805 0.000 2.491

***

5
Lattice="5.531 0.000 0.000 0.000 5.531 0.000 0.000 0.000 5.119" Properties=species:S:1:pos:R:3 comment="FeTeIrI2 (GGA-PBE, optimized geometry)" spacegroup=P4/mmm formation_energy_uncorrected_mev_per_atom=926 dft_energy_ev_per_atom=-3.7873 pbc="T T T"
Fe 0.000 0.000 0.000
Te 2.765 2.765 0.000
Ir 2.765 2.765 2.560
I 0.000 2.765 2.560
I 2.765 0.000 2.560

***

5
Lattice="4.988 0.000 0.000 0.000 4.988 0.000 0.000 0.000 4.804" Properties=species:S:1:pos:R:3 comment="FeTeIr2I (GGA-PBE, optimized geometry)" spacegroup=P4/mmm formation_energy_uncorrected_mev_per_atom=1486 dft_energy_ev_per_atom=-4.6891 pbc="T T T"
Fe 0.000 0.000 0.000
Te 0.000 0.000 2.402
Ir 0.000 2.494 2.402
Ir 2.494 0.000 2.402
I 2.494 2.494 0.000

***

5
Lattice="4.564 0.000 0.000 0.000 4.564 0.000 0.000 0.000 4.569" Properties=species:S:1:pos:R:3 comment="Ti2FeIrI (GGA-PBE, optimized geometry)" spacegroup=P4/mmm formation_energy_uncorrected_mev_per_atom=535 dft_energy_ev_per_atom=-6.3977 pbc="T T T"
Ti 0.000 2.282 0.000
Ti 2.282 0.000 0.000
Fe 0.000 0.000 0.000
Ir 0.000 0.000 2.284
I 2.282 2.282 2.284

***

5
Lattice="5.283 0.000 0.000 0.000 5.283 0.000 0.000 0.000 4.604" Properties=species:S:1:pos:R:3 comment="ZnFeIrI2 (GGA-PBE, optimized geometry)" spacegroup=P4/mmm formation_energy_uncorrected_mev_per_atom=1632 dft_energy_ev_per_atom=-2.7077 pbc="T T T"
Zn 0.000 0.000 0.000
Fe 0.000 0.000 2.302
Ir 2.642 2.642 2.302
I 0.000 2.642 0.000
I 2.642 0.000 0.000

***

20
Lattice="6.891 3.979 5.647 -6.891 3.979 5.647 0.000 -7.957 5.647" Properties=species:S:1:pos:R:3 comment="K3FeI6 (GGA-PBE, optimized geometry)" spacegroup=R-3 formation_energy_uncorrected_mev_per_atom=-883 dft_energy_ev_per_atom=-2.9885 pbc="T T T"
K -4.620 -1.424 7.827
K -1.077 -4.713 9.115
K -3.543 3.289 9.115
K 3.543 -3.289 7.827
K 1.077 4.713 7.827
K 4.620 1.424 9.115
Fe 0.000 0.000 0.000
Fe 0.000 0.000 8.471
I -4.634 -4.453 9.675
I -6.174 1.787 7.268
I -1.230 -1.959 6.843
I 1.539 -6.240 7.268
I -1.082 2.044 6.843
I -2.311 0.085 10.100
I 2.311 -0.085 6.843
I 1.082 -2.044 10.100
I -1.539 6.240 9.675
I 1.230 1.959 10.100
I 6.174 -1.787 9.675
I 4.634 4.453 7.268

***

22
Lattice="7.204 0.000 0.000 0.000 17.002 0.000 -1.345 0.000 8.765" Properties=species:S:1:pos:R:3 comment="K2Fe2I7 (GGA-PBE, optimized geometry)" spacegroup=P2_1/c formation_energy_uncorrected_mev_per_atom=-610 dft_energy_ev_per_atom=-3.3346 pbc="T T T"
K 0.296 2.630 4.000
K -0.376 5.871 8.383
K 6.236 11.131 0.383
K 5.564 14.371 4.765
Fe 1.493 10.339 5.591
Fe 2.165 15.164 1.208
Fe 3.694 1.838 7.558
Fe 4.367 6.663 3.175
I -0.352 11.114 3.975
I -1.024 14.389 8.357
I 0.461 9.324 7.740
I 1.133 16.179 3.357
I 2.203 3.802 6.833
I 2.876 4.699 2.450
I 3.602 0.000 0.000
I 2.930 8.501 4.383
I 2.984 12.303 6.315
I 3.656 13.199 1.933
I 4.727 0.823 5.408
I 5.399 7.678 1.026
I 6.884 2.613 0.408
I 6.211 5.888 4.791

***

7
Lattice="-4.202 4.202 6.017 4.202 -4.202 6.017 4.202 4.202 -6.017" Properties=species:S:1:pos:R:3 comment="K2FeI4 (GGA-PBE, optimized geometry)" spacegroup=I-42m formation_energy_uncorrected_mev_per_atom=-844 dft_energy_ev_per_atom=-3.2525 pbc="T T T"
K 4.202 0.000 3.008
K 0.000 4.202 3.008
Fe 0.000 0.000 0.000
I 1.593 1.593 -1.371
I 2.609 -2.609 7.388
I 2.609 2.609 4.645
I -2.609 2.609 7.388

***

5
Lattice="4.904 0.000 0.000 0.000 4.904 0.000 0.000 0.000 4.904" Properties=species:S:1:pos:R:3 comment="KFe3I (GGA-PBE, optimized geometry)" spacegroup=Pm-3m formation_energy_uncorrected_mev_per_atom=2355 dft_energy_ev_per_atom=-3.2522 pbc="T T T"
K 0.000 0.000 0.000
Fe 0.000 0.000 2.452
Fe 0.000 2.452 0.000
Fe 2.452 0.000 0.000
I 2.452 2.452 2.452

***

5
Lattice="4.838 0.000 0.000 0.000 4.838 0.000 0.000 0.000 4.838" Properties=species:S:1:pos:R:3 comment="KFe3I (GGA-PBE, optimized geometry)" spacegroup=Pm-3m formation_energy_uncorrected_mev_per_atom=1355 dft_energy_ev_per_atom=-4.2520 pbc="T T T"
K 0.000 0.000 0.000
Fe 0.000 2.419 2.419
Fe 2.419 0.000 2.419
Fe 2.419 2.419 0.000
I 2.419 2.419 2.419

***

Copy entry 4 word for word.
5
Lattice="5.531 0.000 0.000 0.000 5.531 0.000 0.000 0.000 5.119" Properties=species:S:1:pos:R:3 comment="FeTeIrI2 (GGA-PBE, optimized geometry)" spacegroup=P4/mmm formation_energy_uncorrected_mev_per_atom=926 dft_energy_ev_per_atom=-3.7873 pbc="T T T"
Fe 0.000 0.000 0.000
Te 2.765 2.765 0.000
Ir 2.765 2.765 2.560
I 0.000 2.765 2.560
I 2.765 0.000 2.560